Below is LaUPa after structural relaxation, with properties calculated at the PBE level.

Cell lengths 3.827, 6.751, 12.890 Å; angles 90.00, 90.00, 90.00 degrees
Sites, in units of the cell vectors:
La: 0.000 0.126 0.247
La: 0.000 0.626 0.253
La: 0.500 0.374 0.753
La: 0.500 0.874 0.747
U: 0.001 0.105 0.553
U: 0.499 0.895 0.053
U: 0.501 0.395 0.447
U: 0.999 0.605 0.947
Pa: 0.001 0.579 0.552
Pa: 0.499 0.421 0.052
Pa: 0.501 0.921 0.448
Pa: 0.999 0.079 0.948

Results
Final energy: -24.82 eV/f.u.
Crystal system: orthorhombic

=====

Below is Cs3PO4 after structural relaxation, with properties calculated at the PBE level.

Cell lengths 6.377, 6.377, 6.377 Å; angles 120.15, 92.58, 116.92 degrees
Sites, in units of the cell vectors:
Cs: 0.000 0.000 0.000
Cs: 0.265 0.506 0.759
Cs: 0.747 0.506 0.241
P: 0.556 0.056 0.500
O: 0.276 0.922 0.354
O: 0.569 0.922 0.646
O: 0.693 0.394 0.701
O: 0.693 0.992 0.299

Results
Final energy: -44.69 eV/f.u.
ΔE to the lowest computed polymorph: 26 meV/atom
ΔE_f (raw): -2.1107 eV per atom
Crystal system: orthorhombic

=====

Below is Li2SbPd7 after structural relaxation, with properties calculated at the PBE level.

Cell lengths 6.854, 6.854, 4.224 Å; angles 90.00, 90.00, 115.19 degrees
Sites, in units of the cell vectors:
Li: 0.196 0.804 0.000
Li: 0.804 0.196 0.000
Sb: 0.500 0.500 0.500
Pd: 0.000 0.000 0.000
Pd: 0.191 0.431 0.000
Pd: 0.269 0.731 0.500
Pd: 0.431 0.191 0.000
Pd: 0.569 0.809 0.000
Pd: 0.731 0.269 0.500
Pd: 0.809 0.569 0.000

Results
Final energy: -42.87 eV/f.u.
ΔE_f (raw): 0.1425 eV per atom
Crystal system: orthorhombic

=====

Below is Ti4NiGe2 after structural relaxation, with properties calculated at the PBE level.

Cell lengths 8.490, 8.490, 8.490 Å; angles 28.32, 28.32, 28.32 degrees
Sites, in units of the cell vectors:
Ti: 0.124 0.124 0.124
Ti: 0.296 0.296 0.296
Ti: 0.704 0.704 0.704
Ti: 0.876 0.876 0.876
Ni: 0.500 0.500 0.500
Ge: 0.405 0.405 0.405
Ge: 0.595 0.595 0.595

Results
Final energy: -48.03 eV/f.u.
Crystal system: trigonal

=====

Copy entry 3 word for word.
Below is Li2SbPd7 after structural relaxation, with properties calculated at the PBE level.

Cell lengths 6.854, 6.854, 4.224 Å; angles 90.00, 90.00, 115.19 degrees
Sites, in units of the cell vectors:
Li: 0.196 0.804 0.000
Li: 0.804 0.196 0.000
Sb: 0.500 0.500 0.500
Pd: 0.000 0.000 0.000
Pd: 0.191 0.431 0.000
Pd: 0.269 0.731 0.500
Pd: 0.431 0.191 0.000
Pd: 0.569 0.809 0.000
Pd: 0.731 0.269 0.500
Pd: 0.809 0.569 0.000

Results
Final energy: -42.87 eV/f.u.
ΔE_f (raw): 0.1425 eV per atom
Crystal system: orthorhombic